(1)
Material: LiMnP2
Method: DFT, PBE-GGA
State: optimized geometry

Calculated values
As for the space group: R-3m. The calculation puts the energy relative to the elements at -0.355 eV per atom.

Geometry as POSCAR:
```
LiMnP2
1.0
7.4644 -0.0069 -0.0041
6.8910 2.8690 -0.0041
6.8910 1.3739 2.5187
Mn P Li
1 2 1
direct
0.7500 0.7500 0.7500
0.4895 0.4895 0.4895
0.0105 0.0105 0.0105
0.2500 0.2500 0.2500
```

---

(2)
Material: LiMnP2
Method: DFT, PBE-GGA
State: optimized geometry

Calculated values
As for the space group: I-4m2. The calculation puts the energy relative to the elements at -0.139 eV per atom.

Geometry as POSCAR:
```
LiMnP2
1.0
-3.6692 -2.2994 -2.2426
-3.5240 -1.9773 2.7297
2.3188 4.2759 -0.3447
P Li Mn
2 1 1
direct
0.0000 0.0000 0.0000
0.2500 0.7500 0.5000
0.5000 0.5000 0.0000
0.7500 0.2500 0.5000
```

---

(3)
Material: LiMnPRu
Method: DFT, PBE-GGA
State: optimized geometry

Calculated values
As for the space group: F-43m. The calculation puts the energy relative to the elements at -0.303 eV per atom.

Geometry as POSCAR:
```
LiMnPRu
1.0
4.0230 0.0000 0.0000
2.0115 3.4840 0.0000
2.0115 1.1613 3.2848
Ru P Li Mn
1 1 1 1
direct
0.2500 0.2500 0.2500
0.5000 0.5000 0.5000
0.0000 0.0000 0.0000
0.7500 0.7500 0.7500
```

---

(4)
Material: SrLiMnP
Method: DFT, PBE-GGA
State: optimized geometry

Calculated values
As for the space group: P4/nmm. The calculation puts the energy relative to the elements at -0.489 eV per atom.

Geometry as POSCAR:
```
SrLiMnP
1.0
3.7935 0.0000 0.0000
0.0000 3.7935 0.0000
0.0000 0.0000 12.1608
Mn Li Sr P
2 2 2 2
direct
0.7500 0.2500 0.0000
0.2500 0.7500 0.0000
0.7500 0.2500 0.5000
0.2500 0.7500 0.5000
0.7500 0.7500 0.2340
0.2500 0.2500 0.7660
0.7500 0.7500 0.8921
0.2500 0.2500 0.1079
```

---

(5)
Material: LiYMnP2
Method: DFT, PBE-GGA
State: optimized geometry

Calculated values
As for the space group: P4/mmm. The calculation puts the energy relative to the elements at 1.053 eV per atom.

Geometry as POSCAR:
```
LiYMnP2
1.0
-2.4387 -0.0368 -4.6795
2.9119 -3.6260 -1.4890
-3.4636 -3.5341 1.8329
P Y Mn Li
2 1 1 1
direct
0.5000 0.0000 0.0000
0.0000 0.0000 0.5000
0.0000 0.0000 0.0000
0.0000 0.5000 0.0000
0.5000 0.5000 0.5000
```

---

(6)
Material: LiPaMn4
Method: DFT, PBE-GGA
State: optimized geometry

Calculated values
As for the space group: F-43m. The calculation puts the energy relative to the elements at 0.199 eV per atom.

Geometry as POSCAR:
```
LiPaMn4
1.0
-3.2603 3.7430 -0.0875
-2.0730 1.5854 4.2232
1.2505 4.4254 1.8706
Mn Pa Li
4 1 1
direct
0.6262 0.6262 0.6262
0.1214 0.6262 0.6262
0.6262 0.6262 0.1214
0.6262 0.1214 0.6262
0.2500 0.2500 0.2500
0.0000 0.0000 0.0000
```

---

(7)
Material: LiPaMnRh
Method: DFT, PBE-GGA
State: optimized geometry

Calculated values
As for the space group: F-43m. The calculation puts the energy relative to the elements at -0.117 eV per atom.

Geometry as POSCAR:
```
LiPaMnRh
1.0
-2.4745 0.4373 -3.7471
-1.2569 -3.6636 -2.3136
-4.3240 -1.2876 -0.0109
Rh Pa Li Mn
1 1 1 1
direct
0.0000 0.0000 0.0000
0.2500 0.2500 0.2500
0.7500 0.7500 0.7500
0.5000 0.5000 0.5000
```

---

(8)
Material: LiPaMnRu
Method: DFT, PBE-GGA
State: optimized geometry

Calculated values
As for the space group: F-43m. The calculation puts the energy relative to the elements at -0.034 eV per atom.

Geometry as POSCAR:
```
LiPaMnRu
1.0
4.4705 0.0000 0.0000
2.2352 3.8716 0.0000
2.2352 1.2905 3.6501
Mn Ru Pa Li
1 1 1 1
direct
0.0000 0.0000 0.0000
0.5000 0.5000 0.5000
0.2500 0.2500 0.2500
0.7500 0.7500 0.7500
```

---

(9)
Material: LiPa2MnS6
Method: DFT, PBE-GGA
State: optimized geometry

Calculated values
As for the space group: R3. Its raw formation energy is -120 kJ per mole of atoms.

Geometry as POSCAR:
```
LiPa2MnS6
1.0
-0.4641 2.7507 -5.6863
4.4521 -1.0249 -4.3867
-1.7612 -4.1489 -5.3906
S Li Pa Mn
6 1 2 1
direct
0.9621 0.5591 0.2397
0.0912 0.4385 0.7682
0.4385 0.7022 0.7682
0.5591 0.2392 0.2397
0.2392 0.9621 0.2396
0.7022 0.0912 0.7682
0.8185 0.8186 0.5442
0.0063 0.0063 0.9812
0.5099 0.5099 0.4703
0.3347 0.3347 0.9960
```

---

(10)
Material: Li4Pa3MnS8
Method: DFT, PBE-GGA
State: optimized geometry

Calculated values
As for the space group: R-3m. Its raw formation energy is -129 kJ per mole of atoms.

Geometry as POSCAR:
```
Li4Pa3MnS8
1.0
-2.7602 4.6957 -5.2904
-6.6275 0.4190 3.8297
6.5035 1.6756 3.5432
Pa S Li Mn
3 8 4 1
direct
0.5000 0.5000 0.0000
0.0000 0.5000 0.5000
0.5000 0.5000 0.5000
0.2444 0.7519 0.4888
0.7556 0.2481 0.5112
0.2444 0.7519 0.0075
0.7632 0.7519 0.0075
0.7559 0.7676 0.5118
0.2441 0.2324 0.4882
0.7556 0.2481 0.9925
0.2368 0.2481 0.9925
0.0000 0.0000 0.0000
0.5000 0.0000 0.0000
0.5000 0.0000 0.5000
0.0000 0.0000 0.5000
0.0000 0.5000 0.0000
```

---

(11)
Material: LiPaMn4S8
Method: DFT, PBE-GGA
State: optimized geometry

Calculated values
As for the space group: R3m. Its raw formation energy is -83 kJ per mole of atoms.

Geometry as POSCAR:
```
LiPaMn4S8
1.0
-5.0113 2.4851 -4.7713
-7.1638 -0.8683 1.4073
-4.1430 5.9419 1.7817
S Li Mn Pa
8 1 4 1
direct
0.2518 0.7667 0.7298
0.7667 0.2518 0.7298
0.2378 0.7455 0.2713
0.7455 0.7455 0.2713
0.7647 0.7647 0.7060
0.2518 0.2518 0.7298
0.7455 0.2378 0.2713
0.2365 0.2365 0.2906
0.3674 0.3674 0.8979
0.4877 0.0046 0.5031
0.0046 0.4877 0.5031
0.0046 0.0046 0.5031
0.6342 0.6342 0.0975
0.0014 0.0014 0.9957
```

---

(12)
Material: Li2PaMnS4
Method: DFT, PBE-GGA
State: optimized geometry

Calculated values
As for the space group: P2/m. Its raw formation energy is -110 kJ per mole of atoms.

Geometry as POSCAR:
```
Li2PaMnS4
1.0
3.7512 0.0000 0.0000
0.0000 5.8464 0.0359
0.0000 -2.1081 6.2725
S Li Pa Mn
4 2 1 1
direct
0.5000 0.7935 0.7750
0.0000 0.7754 0.2505
0.0000 0.2246 0.7495
0.5000 0.2065 0.2250
0.5000 0.0000 0.5000
0.0000 0.5000 0.5000
0.5000 0.5000 0.0000
0.0000 0.0000 0.0000
```

---

| no. | magnetization (Bohr magnetons per cell) | calculated volume (Å³ per cell) | DFT total energy (eV/atom) |
| --- | --- | --- | --- |
| 1 | 1.4 | 54 | -5.8312 |
| 2 | 3.0 | 52 | -5.6152 |
| 3 | 2.6 | 46 | -6.7451 |
| 4 | 3.0 | 175 | -5.0329 |
| 5 | 0.1 | 136 | -4.6205 |
| 6 | 7.0 | 87 | -7.8153 |
| 7 | 1.2 | 65 | -7.0996 |
| 8 | 1.7 | 63 | -7.4976 |
| 9 | 0.0 | 208 | -6.7305 |
| 10 | 9.0 | 314 | -6.2346 |
| 11 | 18.0 | 287 | -6.6581 |
| 12 | 0.1 | 138 | -6.0196 |